[1]
Computed, not measured: Cs2KHgSb after structural relaxation at the PBE-GGA level of DFT.

Raw formation energy = -3.35 kcal/mol of atoms
N(E_F) = 0.347 states/eV/atom
Calculated total energy = -1.5910 eV per atom
Energy above the most stable polymorph in this dataset = 52 meV/atom

abc: 7.246 7.246 5.704
angles: 90.00 90.00 90.00
Atoms (fractional coordinates):
Cs  0.000  0.500  0.000
Cs  0.500  0.000  0.000
K  0.000  0.000  0.500
Hg  0.500  0.500  0.000
Sb  0.500  0.500  0.500

=====

[2]
Computed, not measured: Li2MnTeS after structural relaxation at the PBE-GGA level of DFT.

Raw formation energy = -16.63 kcal/mol of atoms
N(E_F) = 0.097 states/eV/atom
Calculated total energy = -4.7743 eV per atom

abc: 4.604 4.604 4.775
angles: 90.00 90.00 90.00
Atoms (fractional coordinates):
Li  0.000  0.500  0.000
Li  0.500  0.000  0.000
Mn  0.000  0.000  0.500
Te  0.500  0.500  0.500
S  0.000  0.000  0.000